DFT (PBE) results for an optimized crystal structure of BaTbAg2Cl8.

Summary:
N(E_F), states/eV/atom: 0.7624
Calculated total energy, eV per atom: -3.76
Uncorrected formation energy, eV per atom: -1.51

a = 8.5778 Å, b = 8.5778 Å, c = 8.5778 Å
α = 132.79°, β = 132.79°, γ = 68.98°
Last column: nearest neighbours and their distance in Å.
Positions (direct):
Ba (0.0000, 0.0000, 0.0000)  8 Cl 3.08-3.24
Tb (0.2500, 0.7500, 0.5000)  8 Cl 2.76-2.87
Ag (0.5000, 0.5000, 0.0000)  4 Cl 2.58
Ag (0.7500, 0.2500, 0.5000)  4 Cl 2.54
Cl (0.0013, 0.0262, 0.3955)  1 Ag 2.54, 1 Tb 2.76
Cl (0.2673, 0.7067, 0.1503)  1 Ag 2.58, 1 Tb 2.87
Cl (0.2933, 0.4436, 0.5607)  1 Ag 2.58, 1 Tb 2.87
Cl (0.3942, 0.9987, 0.0249)  1 Ag 2.54, 1 Tb 2.76
Cl (0.5564, 0.1170, 0.8497)  1 Ag 2.58, 1 Tb 2.87
Cl (0.6307, 0.6058, 0.6045)  1 Ag 2.54, 1 Tb 2.76
Cl (0.8830, 0.7327, 0.4393)  1 Ag 2.58, 1 Tb 2.87
Cl (0.9738, 0.3693, 0.9751)  1 Ag 2.54, 1 Tb 2.76

---

DFT (PBE) results for an optimized crystal structure of BaThAg2Cl8.

Summary:
N(E_F), states/eV/atom: 0.0000
Calculated total energy, eV per atom: -4.14
Uncorrected formation energy, eV per atom: -1.65

a = 6.6106 Å, b = 7.1481 Å, c = 9.2225 Å
α = 106.52°, β = 90.34°, γ = 99.05°
Last column: nearest neighbours and their distance in Å.
Positions (direct):
Ba (0.0000, 0.0000, 0.0000)  6 Cl 3.06-3.21
Th (0.0000, 0.0000, 0.5000)  6 Cl 2.69-2.74
Ag (0.4908, 0.3568, 0.8036)  3 Cl 2.51-2.63
Ag (0.5092, 0.6432, 0.1964)  3 Cl 2.51-2.63
Cl (0.1103, 0.7654, 0.2315)  1 Th 2.74, 1 Ag 2.90
Cl (0.1284, 0.7928, 0.6740)  1 Th 2.69
Cl (0.3656, 0.2375, 0.5308)  1 Ag 2.51, 1 Th 2.69
Cl (0.4211, 0.2635, 0.0498)  2 Ag 2.57-2.63
Cl (0.5789, 0.7365, 0.9502)  2 Ag 2.57-2.63
Cl (0.6344, 0.7625, 0.4692)  1 Ag 2.51, 1 Th 2.69
Cl (0.8716, 0.2072, 0.3260)  1 Th 2.69
Cl (0.8897, 0.2346, 0.7685)  1 Th 2.74, 1 Ag 2.90

---

DFT (PBE) results for an optimized crystal structure of BaTl2Ag2Cl6.

Summary:
N(E_F), states/eV/atom: 0.0000
Calculated total energy, eV per atom: -3.31
Uncorrected formation energy, eV per atom: -1.18

a = 7.9360 Å, b = 7.9360 Å, c = 7.7988 Å
α = 113.69°, β = 113.69°, γ = 59.73°
Last column: nearest neighbours and their distance in Å.
Positions (direct):
Ba (0.0000, 0.0000, 0.0000)  6 Cl 3.06-3.09
Tl (0.2358, 0.2358, 0.6688)  5 Cl 3.20-3.24
Tl (0.7642, 0.7642, 0.3312)  5 Cl 3.20-3.24
Ag (0.4407, 0.4407, 0.2848)  3 Cl 2.47-2.57
Ag (0.5593, 0.5593, 0.7152)  3 Cl 2.47-2.57
Cl (0.1817, 0.6644, 0.6652)  1 Ag 2.57
Cl (0.2400, 0.2400, 0.0823)  1 Ag 2.47
Cl (0.3356, 0.8183, 0.3348)  1 Ag 2.57
Cl (0.6644, 0.1817, 0.6652)  1 Ag 2.57
Cl (0.7600, 0.7600, 0.9177)  1 Ag 2.47
Cl (0.8183, 0.3356, 0.3348)  1 Ag 2.57

---

Q: Which of these has the lowest uncorrected formation energy?
A: BaThAg2Cl8

---

Q: The highest uncorrected formation energy belongs to which entry?
A: BaTl2Ag2Cl6